The following is a DFT calculation (PBE) of a relaxed AcSm4Bi5 crystal.

Summary:
formation energy from the elements = -923 meV per atom
magnetic moment = 0.000 μB per formula unit
space group = No. 71
mass density = 8.880 Mg/m³

abc: 12.239 12.239 12.239
angles: 158.24 148.93 38.25
Sites, in units of the cell vectors:
Ac1 0.000 0.000 0.000
Sm1 0.203 0.203 0.000
Sm2 0.399 0.399 0.000
Sm3 0.601 0.601 0.000
Sm4 0.797 0.797 0.000
Bi1 0.107 0.607 0.500
Bi2 0.301 0.801 0.500
Bi3 0.500 0.000 0.500
Bi4 0.699 0.199 0.500
Bi5 0.893 0.393 0.500